Entry from Alexandria: crystalline U4TeSe7 at its relaxed geometry (PBE-GGA).

Computed properties:
**DOS(E_F)**: 2.31 states/eV per atom
**Crystal system**: monoclinic
**Formation energy from raw total energies**: -12.37 eV/f.u.

```
U4TeSe7
1.0
4.078 0.000 0.000
0.000 7.667 0.054
0.000 0.135 9.257
Se U Te
7 4 1
direct
0.000 0.023 0.665
0.000 0.520 0.824
0.500 0.354 0.562
0.500 0.853 0.937
0.000 0.642 0.437
0.500 0.973 0.337
0.000 0.153 0.064
0.000 0.791 0.151
0.000 0.254 0.368
0.500 0.232 0.853
0.500 0.735 0.643
0.500 0.470 0.158
```